Entry 1:
# BaMoPCl2, relaxed, DFT GGA-PBE
data_BaMoPCl2
_cell_length_a 5.818
_cell_length_b 5.818
_cell_length_c 6.436
_cell_angle_alpha 90.00
_cell_angle_beta 90.00
_cell_angle_gamma 90.00
_symmetry_space_group_name_H-M 'P 1'
_symmetry_Int_Tables_number 1
_symmetry_space_group_name_Hall 'P 1'
loop_
_atom_site_label
_atom_site_type_symbol
_atom_site_fract_x
_atom_site_fract_y
_atom_site_fract_z
_atom_site_occupancy
Ba1 Ba 0.000 0.000 0.000 1
Cl1 Cl 0.500 0.000 0.000 1
P1 P 0.000 0.000 0.500 1
Cl2 Cl 0.000 0.500 0.000 1
Mo1 Mo 0.500 0.500 0.500 1
# Uncorrected formation energy = 1.90 eV/f.u.
# E_tot = -19.96 eV per cell
# Total moment = 2.999 μB per formula unit
# Calculated volume = 217.8 Å³/cell
# D(E_F) = 3.0 states/eV/f.u.



Entry 2:
# BaMoPCl2, relaxed, DFT GGA-PBE
data_BaMoPCl2
_cell_length_a 5.068
_cell_length_b 5.068
_cell_length_c 4.780
_cell_angle_alpha 90.00
_cell_angle_beta 90.00
_cell_angle_gamma 90.00
_symmetry_space_group_name_H-M 'P 1'
_symmetry_Int_Tables_number 1
_symmetry_space_group_name_Hall 'P 1'
loop_
_atom_site_label
_atom_site_type_symbol
_atom_site_fract_x
_atom_site_fract_y
_atom_site_fract_z
_atom_site_occupancy
Cl1 Cl 0.500 0.000 0.000 1
Cl2 Cl 0.000 0.500 0.000 1
Mo1 Mo 0.000 0.000 0.000 1
P1 P 0.000 0.000 0.500 1
Ba1 Ba 0.500 0.500 0.500 1
# Uncorrected formation energy = -4.18 eV/f.u.
# E_tot = -26.04 eV per cell
# Total moment = 1.653 μB per formula unit
# Calculated volume = 122.8 Å³/cell
# D(E_F) = 2.0 states/eV/f.u.



We obtain offset from the most stable computed form values of 1.215; 0.000 eV per atom for the records listed above, in that order.